Here is a relaxed BaRhO crystal from the Alexandria database. Energies are from PBE.

Output
The value obtained for the total energy is -5.48 eV per atom. The raw formation energy comes out at -732.6 meV per atom. The total moment comes out at 0.0 μB per cell.

a = 7.0236 Å, b = 6.9240 Å, c = 6.5587 Å
α = 90.00°, β = 90.00°, γ = 120.48°
Atoms (fractional coordinates):
Rh (0.5922, 0.1844, 0.3635)
Rh (0.9078, 0.8156, 0.8635)
Rh (0.4078, 0.8156, 0.6365)
Rh (0.0922, 0.1844, 0.1365)
O (0.2991, 0.0981, 0.2500)
O (0.2009, 0.9019, 0.7500)
O (0.7009, 0.9019, 0.7500)
O (0.7991, 0.0981, 0.2500)
Ba (0.8630, 0.7260, 0.3962)
Ba (0.6370, 0.2740, 0.8962)
Ba (0.1370, 0.2740, 0.6038)
Ba (0.3630, 0.7260, 0.1038)